(1)
Here is a relaxed structure of HfFe2Ru2 from the Alexandria database. Energies are from PBE.

## Properties
**D(E_F)**: 11.59 states/eV per cell
**Energy of formation**: -0.01 eV per formula unit
**Energy relative to the lowest polymorph listed for this composition**: 0.000 eV/atom
**Crystal system**: tetragonal

Lattice parameters (Å, degrees): 7.097 7.097 2.759 90.00 90.00 90.00
Space group P4/mbm (No. 127)
Asymmetric unit:
Hf1 0.000 0.000 0.000 [2 per cell]
Fe1 0.118 0.382 0.000 [4 per cell]
Ru1 0.176 0.676 0.500 [4 per cell]



(2)
Here is a relaxed structure of LaCe2Zn2Pb2 from the Alexandria database. Energies are from PBE.

## Properties
**D(E_F)**: 36.57 states/eV per cell
**Energy of formation**: -1.64 eV per formula unit
**Crystal system**: trigonal

Lattice parameters (Å, degrees): 4.6488 4.6488 29.5728 90.00 90.00 120.00
Space group R-3m (No. 166, hexagonal axes)
Asymmetric unit:
La1 0.0000 0.0000 0.0000 [3 per cell]
Ce1 0.0000 0.0000 0.1452 [6 per cell]
Zn1 0.0000 0.0000 0.4291 [6 per cell]
Pb1 0.0000 0.0000 0.2671 [6 per cell]



(3)
Here is a relaxed structure of CsCd2In2Br7 from the Alexandria database. Energies are from PBE.

## Properties
**D(E_F)**: 0.00 states/eV per cell
**Formation energy from raw total energies**: -0.929 eV/atom
**Crystal system**: trigonal

Lattice parameters (Å, degrees): 7.6481 7.6481 34.5687 90.00 90.00 120.00
Space group R32 (No. 155, hexagonal axes)
Asymmetric unit:
Cs1 0.0000 0.0000 0.0000 [3 per cell]
Cd1 0.0000 0.0000 0.4217 [6 per cell]
In1 0.0000 0.0000 0.2088 [6 per cell]
Br1 0.0000 0.0000 0.5000 [3 per cell]
Br2 0.0171 0.3813 0.9323 [18 per cell]



(4)
Here is a relaxed structure of Li2Er2PaS6 from the Alexandria database. Energies are from PBE.

## Properties
**D(E_F)**: 6.11 states/eV per cell
**Formation energy from raw total energies**: -1.756 eV/atom
**Crystal system**: monoclinic

Lattice parameters (Å, degrees): 6.816 11.777 6.567 90.00 110.16 90.00
Space group C2/m (No. 12)
Asymmetric unit:
Li1 0.000 0.170 0.000 [4 per cell]
Er1 0.000 0.335 0.500 [4 per cell]
Pa1 0.000 0.000 0.500 [2 per cell]
S1 0.243 0.169 0.744 [8 per cell]
S2 0.245 0.000 0.256 [4 per cell]



(5)
Here is a relaxed structure of Re2HgAs from the Alexandria database. Energies are from PBE.

## Properties
**D(E_F)**: 3.90 states/eV per cell
**Energy of formation**: 1.11 eV per formula unit
**Energy relative to the lowest polymorph listed for this composition**: 0.000 eV/atom
**Crystal system**: tetragonal

Lattice parameters (Å, degrees): 2.946 2.946 8.581 90.00 90.00 90.00
Space group P4mm (No. 99)
Asymmetric unit:
Re1 0.000 0.000 0.000 [1 per cell]
Re2 0.500 0.500 0.189 [1 per cell]
Hg1 0.500 0.500 0.748 [1 per cell]
As1 0.000 0.000 0.391 [1 per cell]



(6)
Here is a relaxed structure of Pr3In from the Alexandria database. Energies are from PBE.

## Properties
**D(E_F)**: 4.94 states/eV per cell
**Energy of formation**: -0.04 eV per formula unit
**Crystal system**: orthorhombic

Lattice parameters (Å, degrees): 3.522 3.611 10.934 90.00 90.00 90.00
Space group Pmm2 (No. 25)
Asymmetric unit:
Pr1 0.000 0.000 0.000 [1 per cell]
Pr2 0.000 0.500 0.456 [1 per cell]
Pr3 0.500 0.500 0.749 [1 per cell]
In1 0.500 0.000 0.256 [1 per cell]



(7)
Here is a relaxed structure of Cr3Ru3Rh2 from the Alexandria database. Energies are from PBE.

## Properties
**D(E_F)**: 20.70 states/eV per cell
**Energy of formation**: 0.37 eV per formula unit
**Crystal system**: orthorhombic

Lattice parameters (Å, degrees): 3.717 3.781 15.134 90.00 90.00 90.00
Space group Immm (No. 71)
Asymmetric unit:
Cr1 0.000 0.000 0.000 [2 per cell]
Cr2 0.000 0.500 0.120 [4 per cell]
Ru1 0.000 0.000 0.500 [2 per cell]
Ru2 0.000 0.500 0.377 [4 per cell]
Rh1 0.000 0.000 0.250 [4 per cell]



(8)
Here is a relaxed structure of MnCd2Rh from the Alexandria database. Energies are from PBE.

## Properties
**D(E_F)**: 9.29 states/eV per cell
**Energy of formation**: 0.73 eV per formula unit
**Energy relative to the lowest polymorph listed for this composition**: 0.205 eV/atom
**Crystal system**: trigonal

Lattice parameters (Å, degrees): 2.9641 2.9641 27.6033 90.00 90.00 120.00
Space group R-3m (No. 166, hexagonal axes)
Asymmetric unit:
Mn1 0.0000 0.0000 0.0000 [3 per cell]
Cd1 0.0000 0.0000 0.2481 [6 per cell]
Rh1 0.0000 0.0000 0.5000 [3 per cell]



Number 1: total DFT energy (no corrections) -9.087 eV/atom. Number 2: total DFT energy (no corrections) -4.057 eV/atom. Number 3: total DFT energy (no corrections) -2.585 eV/atom. Number 4: total DFT energy (no corrections) -6.048 eV/atom. Number 5: total DFT energy (no corrections) -7.184 eV/atom. Number 6: total DFT energy (no corrections) -4.278 eV/atom. Number 7: total DFT energy (no corrections) -8.878 eV/atom. Number 8: total DFT energy (no corrections) -4.405 eV/atom.